Material: LuFe2Te
Method: DFT, PBE
State: relaxed

Summary:
M_tot: 4.96 μB per formula unit
total energy: -5.889 eV per atom

Cell lengths 4.685, 4.685, 4.685 Å; angles 60.00, 60.00, 60.00 degrees
Element x y z (fractional)
Fe1 0.000 0.000 0.000
Fe2 0.250 0.250 0.250
Lu1 0.500 0.500 0.500
Te1 0.750 0.750 0.750

=====

Material: Cs2CdO2
Method: DFT, PBE
State: relaxed

Summary:
total energy: -3.573 eV per atom

Cell lengths 6.998, 7.693, 11.545 Å; angles 71.25, 83.48, 64.87 degrees
Element x y z (fractional)
Cd1 0.288 0.543 0.074
Cd2 0.207 0.959 0.427
Cd3 0.788 0.039 0.574
Cd4 0.708 0.455 0.927
Cs1 0.237 0.025 0.086
Cs2 0.765 0.512 0.231
Cs3 0.729 0.996 0.268
Cs4 0.259 0.476 0.416
Cs5 0.736 0.522 0.585
Cs6 0.266 0.002 0.733
Cs7 0.230 0.487 0.770
Cs8 0.759 0.974 0.915
O1 0.504 0.284 0.032
O2 0.031 0.719 0.151
O3 0.468 0.786 0.351
O4 0.982 0.218 0.465
O5 0.013 0.780 0.536
O6 0.527 0.212 0.650
O7 0.964 0.280 0.850
O8 0.491 0.715 0.969

=====

Material: Lu4SbC3
Method: DFT, PBE
State: relaxed

Summary:
M_tot: 0.01 μB per formula unit
total energy: -6.664 eV per atom

Cell lengths 3.500, 3.500, 26.868 Å; angles 90.00, 90.00, 120.00 degrees
Element x y z (fractional)
C1 0.000 0.000 0.000
C2 0.667 0.333 0.110
C3 0.667 0.333 0.390
C4 0.000 0.000 0.500
C5 0.333 0.667 0.610
C6 0.333 0.667 0.890
Lu1 0.333 0.667 0.054
Lu2 0.000 0.000 0.154
Lu3 0.000 0.000 0.346
Lu4 0.333 0.667 0.446
Lu5 0.667 0.333 0.554
Lu6 0.000 0.000 0.654
Lu7 0.000 0.000 0.846
Lu8 0.667 0.333 0.946
Sb1 0.333 0.667 0.250
Sb2 0.667 0.333 0.750

=====

Material: Hf3AlP
Method: DFT, PBE
State: relaxed

Summary:
M_tot: 0.01 μB per formula unit
total energy: -8.443 eV per atom

Cell lengths 6.114, 6.114, 9.535 Å; angles 90.00, 90.00, 146.13 degrees
Element x y z (fractional)
Al1 0.754 0.246 0.250
Al2 0.246 0.754 0.750
Hf1 0.145 0.855 0.054
Hf2 0.445 0.555 0.250
Hf3 0.145 0.855 0.446
Hf4 0.855 0.145 0.554
Hf5 0.555 0.445 0.750
Hf6 0.855 0.145 0.946
P1 0.500 0.500 0.000
P2 0.500 0.500 0.500

=====

Material: CuNiPd2
Method: DFT, PBE
State: relaxed

Summary:
DFT formation energy: 0.079 eV per atom
M_tot: 1.00 μB per formula unit

Cell lengths 4.265, 4.265, 4.265 Å; angles 60.00, 60.00, 60.00 degrees
Element x y z (fractional)
Cu1 0.500 0.500 0.500
Ni1 0.750 0.750 0.750
Pd1 0.000 0.000 0.000
Pd2 0.250 0.250 0.250

=====

Material: Tm4SnPbC2
Method: DFT, PBE
State: relaxed

Summary:
M_tot: 0.02 μB per formula unit
total energy: -6.074 eV per atom

Cell lengths 3.573, 3.573, 15.716 Å; angles 90.00, 90.00, 120.00 degrees
Element x y z (fractional)
C1 0.333 0.667 0.252
C2 0.333 0.667 0.748
Pb1 0.000 0.000 0.000
Sn1 0.667 0.333 0.500
Tm1 0.667 0.333 0.170
Tm2 0.000 0.000 0.336
Tm3 0.000 0.000 0.664
Tm4 0.667 0.333 0.830

=====

Material: SiGeMo
Method: DFT, PBE
State: relaxed

Summary:
offset from the most stable computed form: 0.000 eV/f.u.
M_tot: 0.00 μB per formula unit

Cell lengths 3.436, 3.436, 7.728 Å; angles 90.00, 90.00, 90.00 degrees
Element x y z (fractional)
Ge1 0.000 0.500 0.396
Ge2 0.500 0.000 0.604
Mo1 0.500 0.000 0.245
Mo2 0.000 0.500 0.755
Si1 0.000 0.000 0.000
Si2 0.500 0.500 0.000

=====

Material: Ta
Method: DFT, PBE
State: relaxed

Summary:
DFT formation energy: 0.109 eV per atom
offset from the most stable computed form: 0.109 eV/f.u.
M_tot: 0.00 μB per formula unit

Cell lengths 5.449, 5.449, 17.509 Å; angles 90.00, 90.00, 120.00 degrees
Element x y z (fractional)
Ta1 0.500 0.000 0.000
Ta2 0.000 0.500 0.000
Ta3 0.500 0.500 0.000
Ta4 0.000 0.000 0.094
Ta5 0.333 0.667 0.125
Ta6 0.667 0.333 0.157
Ta7 0.163 0.325 0.250
Ta8 0.163 0.837 0.250
Ta9 0.675 0.837 0.250
Ta10 0.667 0.333 0.343
Ta11 0.333 0.667 0.375
Ta12 0.000 0.000 0.406
Ta13 0.500 0.000 0.500
Ta14 0.000 0.500 0.500
Ta15 0.500 0.500 0.500
Ta16 0.000 0.000 0.594
Ta17 0.667 0.333 0.625
Ta18 0.333 0.667 0.657
Ta19 0.325 0.163 0.750
Ta20 0.837 0.163 0.750
Ta21 0.837 0.675 0.750
Ta22 0.333 0.667 0.843
Ta23 0.667 0.333 0.875
Ta24 0.000 0.000 0.906

=====

Material: Li3Zn
Method: DFT, PBE
State: relaxed

Summary:
total energy: -1.849 eV per atom

Cell lengths 4.610, 5.648, 4.838 Å; angles 90.00, 90.00, 90.00 degrees
Element x y z (fractional)
Li1 0.000 0.000 0.153
Li2 0.500 0.248 0.324
Li3 0.500 0.752 0.324
Li4 0.000 0.252 0.676
Li5 0.000 0.748 0.676
Li6 0.500 0.500 0.847
Zn1 0.000 0.500 0.183
Zn2 0.500 0.000 0.817

=====

Material: PrZnSi
Method: DFT, PBE
State: relaxed

Summary:
M_tot: 0.00 μB per formula unit
total energy: -3.727 eV per atom

Cell lengths 4.846, 4.846, 4.846 Å; angles 60.00, 60.00, 60.00 degrees
Element x y z (fractional)
Pr1 0.000 0.000 0.000
Si1 0.250 0.250 0.250
Zn1 0.750 0.750 0.750